Model i:
Computed, not measured: a relaxed structure of Dy2FePd at the PBE-GGA level of DFT.

Cell lengths 4.850, 4.850, 4.850 Å; angles 60.00, 60.00, 60.00 degrees
Fractional positions:
1 Fe 0.000 0.000 0.000
2 Pd 0.500 0.500 0.500
3 Dy 0.250 0.250 0.250
4 Dy 0.750 0.750 0.750

## Properties
**M_tot**: 0.66 μB/f.u.
**D(E_F)**: 0.975 states/eV per atom

=====

Model ii:
Computed, not measured: a relaxed structure of Dy2FePd at the PBE-GGA level of DFT.

Cell lengths 3.439, 3.439, 6.882 Å; angles 90.00, 90.00, 90.00 degrees
Fractional positions:
1 Fe 0.500 0.500 0.000
2 Pd 0.500 0.500 0.500
3 Dy 0.000 0.000 0.760
4 Dy 0.000 0.000 0.240

## Properties
**M_tot**: 1.13 μB/f.u.
**D(E_F)**: 1.009 states/eV per atom

=====

Pick the most stable structure from those above. Pick: model ii